# DyErGa2

DyErGa2 after structural relaxation (PBE, OQMD via LeMat-Bulk).

Unit cell a=5.265 b=6.572 c=6.572 alpha=125.18 beta=90.00 gamma=90.00
Positions (direct):
Dy1 0.250 0.181 0.819
Dy2 0.750 0.819 0.181
Er1 0.250 0.625 0.766
Er2 0.750 0.766 0.625
Ga1 0.250 0.142 0.275
Ga2 0.250 0.676 0.327
Ga3 0.750 0.275 0.142
Ga4 0.750 0.327 0.676

Properties
Its energy is -4.1270 eV per atom. The calculation puts the total moment at 0.005 μB/f.u.